Record 1
MgSiIr2: PBEsol geometry, meta-GGA SCAN.

a b c (Å): 4.2240 4.2240 4.2240
angles (deg): 60.00 60.00 60.00
Last column: nearest neighbours and their distance in Å.
Sites, in units of the cell vectors:
Ir: 0.7500 0.7500 0.7500  4 Mg 2.59, 4 Si 2.59
Mg: 0.5000 0.5000 0.5000  8 Ir 2.59
Ir: 0.2500 0.2500 0.2500  4 Mg 2.59, 4 Si 2.59
Si: 0.0000 0.0000 0.0000  8 Ir 2.59

Results
V = 53.3 Å³/cell
SG = Fm-3m (225)
D(E_F) = 0.73 states/eV per cell
Formation energy without anion corrections = -0.70 eV/atom

=====

Record 2
BaTl2Pb2: PBEsol geometry, meta-GGA SCAN.

a b c (Å): 3.8542 9.0395 9.0395
angles (deg): 90.00 90.00 90.00
Last column: nearest neighbours and their distance in Å.
Sites, in units of the cell vectors:
Pb: 0.5000 0.1649 0.6649  6 Tl 3.28-3.29
Pb: 0.5000 0.6649 0.8351  6 Tl 3.28-3.29
Tl: 0.0000 0.1273 0.3727  1 Tl 3.25, 6 Pb 3.28-3.29, 2 Ba 3.56
Ba: 0.0000 0.0000 0.0000  4 Tl 3.56, 2 Ba 3.85, 8 Pb 3.89
Ba: 0.0000 0.5000 0.5000  4 Tl 3.56, 2 Ba 3.85, 8 Pb 3.89
Tl: 0.0000 0.6273 0.1273  1 Tl 3.25, 6 Pb 3.28-3.29, 2 Ba 3.56
Pb: 0.5000 0.8351 0.3351  6 Tl 3.28-3.29
Pb: 0.5000 0.3351 0.1649  6 Tl 3.28-3.29
Tl: 0.0000 0.3727 0.8727  1 Tl 3.25, 6 Pb 3.28-3.29, 2 Ba 3.56
Tl: 0.0000 0.8727 0.6273  1 Tl 3.25, 6 Pb 3.28-3.29, 2 Ba 3.56

Results
ΔH_f (0 K) = -0.2984 eV per atom
V = 314.9 Å³/cell
SG = P4/mbm (127)
D(E_F) = 4.87 states/eV per cell
Energy relative to the lowest polymorph listed for this composition = 54 meV/atom

=====

Record 3
ScCd2Pt: PBEsol geometry, meta-GGA SCAN.

a b c (Å): 3.3903 3.3903 6.5881
angles (deg): 90.00 90.00 90.00
Last column: nearest neighbours and their distance in Å.
Sites, in units of the cell vectors:
Cd: 0.0000 0.0000 0.0000  4 Cd 2.95, 4 Sc 3.05, 1 Pt 3.13
Sc: 0.5000 0.5000 0.7142  4 Pt 2.70, 1 Cd 2.98
Pt: 0.0000 0.0000 0.5244  4 Sc 2.70, 4 Cd 2.96
Cd: 0.5000 0.5000 0.2615  4 Cd 2.95, 4 Pt 2.96, 1 Sc 2.98

Results
ΔH_f (0 K) = -0.6461 eV per atom
V = 75.7 Å³/cell
SG = P4mm (99)
D(E_F) = 2.04 states/eV per cell

=====

Record 4
Cr4Ga6Se15: PBEsol geometry, meta-GGA SCAN.

a b c (Å): 6.5209 6.5209 15.6077
angles (deg): 95.05 95.05 119.87
Last column: nearest neighbours and their distance in Å.
Sites, in units of the cell vectors:
Se: 0.7198 0.7198 0.2254  3 Cr 2.45-2.52
Se: 0.6136 0.6136 0.8274  2 Ga 2.41, 1 Cr 2.56
Ga: 0.5420 0.8590 0.5498  4 Se 2.33-2.44
Se: 0.4539 0.7902 0.3917  1 Ga 2.43, 3 Cr 2.52-2.58
Se: 0.3891 0.0522 0.2278  1 Ga 2.44, 3 Cr 2.53-2.59
Cr: 0.3142 0.3142 0.9130  6 Se 2.56-2.61
Se: 0.1283 0.1283 0.3953  3 Cr 2.47-2.53
Se: 0.2097 0.5133 0.5943  3 Ga 2.43-2.45
Se: 0.8996 0.8996 0.6139  2 Ga 2.33
Cr: 0.0786 0.7650 0.3104  6 Se 2.45-2.59
Ga: 0.6059 0.2695 0.7536  4 Se 2.38-2.45
Se: 0.0522 0.3891 0.2278  1 Ga 2.44, 3 Cr 2.53-2.59
Se: 0.3697 0.6571 0.0296  2 Ga 2.38-2.42, 1 Cr 2.61
Se: 0.0061 0.0061 0.9943  2 Ga 2.40, 1 Cr 2.56
Se: 0.6571 0.3697 0.0296  2 Ga 2.38-2.42, 1 Cr 2.61
Ga: 0.0127 0.3475 0.0694  4 Se 2.38-2.44
Se: 0.9644 0.2599 0.7999  2 Ga 2.38-2.42, 1 Cr 2.61
Cr: 0.4227 0.4227 0.3090  6 Se 2.52-2.53
Se: 0.7902 0.4539 0.3917  1 Ga 2.43, 3 Cr 2.52-2.58
Se: 0.2599 0.9644 0.7999  2 Ga 2.38-2.42, 1 Cr 2.61
Cr: 0.7650 0.0786 0.3104  6 Se 2.45-2.59
Se: 0.5133 0.2097 0.5943  3 Ga 2.43-2.45
Ga: 0.3475 0.0127 0.0694  4 Se 2.38-2.44
Ga: 0.8590 0.5420 0.5498  4 Se 2.33-2.44
Ga: 0.2695 0.6059 0.7536  4 Se 2.38-2.45

Results
V = 566.5 Å³/cell
SG = Cm (8)
D(E_F) = 0.15 states/eV per cell
Formation energy without anion corrections = -0.69 eV/atom

=====

Record 5
Mn2TlSe: PBEsol geometry, meta-GGA SCAN.

a b c (Å): 3.2094 3.2094 6.8810
angles (deg): 90.00 90.00 90.00
Last column: nearest neighbours and their distance in Å.
Sites, in units of the cell vectors:
Mn: 0.5000 0.5000 0.2545  4 Se 2.48, 4 Mn 2.69
Mn: 0.0000 0.0000 0.0440  1 Se 2.45, 4 Mn 2.69
Tl: 0.5000 0.5000 0.8010  5 Mn 2.82-3.12
Se: 0.0000 0.0000 0.4005  5 Mn 2.45-2.48

Results
V = 70.9 Å³/cell
SG = P4mm (99)
D(E_F) = 1.88 states/eV per cell
Energy relative to the lowest polymorph listed for this composition = 0 meV/atom
Formation energy without anion corrections = -0.11 eV/atom

=====

Record 6
Zr2CdRu: PBEsol geometry, meta-GGA SCAN.

a b c (Å): 3.1341 3.1341 9.3628
angles (deg): 80.36 80.36 60.00
Last column: nearest neighbours and their distance in Å.
Sites, in units of the cell vectors:
Zr: 0.7486 0.7486 0.7542  9 Zr 3.12-3.13, 3 Cd 3.12
Ru: 0.2541 0.2541 0.2376  3 Zr 2.62, 3 Cd 2.85
Zr: 0.9896 0.9896 0.0313  3 Ru 2.62
Cd: 0.5077 0.5077 0.4769  3 Ru 2.85, 3 Zr 3.12, 6 Cd 3.13

Results
ΔH_f (0 K) = 0.0289 eV per atom
V = 78.1 Å³/cell
SG = R3m (160)
D(E_F) = 3.31 states/eV per cell